Entry 1:
La4InTeI2 after structural relaxation, computed with PBE-GGA.

```
La4InTeI2
1.0
-1.0375 -3.6238 2.7787
7.6827 -0.8075 1.8154
1.7945 4.4265 6.4428
La In Te I
4 1 1 2
direct
0.0000 0.7316 0.7598
0.0000 0.2684 0.2402
0.5000 0.7318 0.2522
0.5000 0.2682 0.7478
0.5000 0.5000 0.0000
0.0000 0.5000 0.5000
0.0000 0.0000 0.0000
0.5000 0.0000 0.5000
```

Output
The formation energy from raw total energies is -8.16 eV per formula unit.


Entry 2:
LaInTeI2 after structural relaxation, computed with PBE-GGA.

```
LaInTeI2
1.0
-4.2887 -2.8944 3.6000
4.3338 -4.2214 1.7688
1.5691 3.6104 4.7720
I Te In La
2 1 1 1
direct
0.0000 0.5000 0.0000
0.5000 0.0000 0.0000
0.0000 0.0000 0.5000
0.5000 0.5000 0.5000
0.0000 0.0000 0.0000
```

Output
The formation energy from raw total energies is -4.45 eV per formula unit.


Entry 3:
LaTlIn2I6 after structural relaxation, computed with PBE-GGA.

```
LaTlIn2I6
1.0
8.6740 0.0023 0.0023
4.3390 7.5108 0.0019
4.3392 2.5055 7.6088
La Tl In I
1 1 2 6
direct
0.3240 0.3240 0.0279
0.8162 0.8164 0.5511
0.5194 0.5191 0.4422
0.0112 0.0113 0.9663
0.5784 0.2138 0.2474
0.2138 0.9603 0.2473
0.9603 0.5786 0.2474
0.4136 0.6991 0.7617
0.6992 0.1253 0.7619
0.1254 0.4137 0.7619
```

Output
The formation energy from raw total energies is -9.20 eV per formula unit.


Entry 4:
LaTl2InI6 after structural relaxation, computed with PBE-GGA.

```
LaTl2InI6
1.0
-8.0817 1.6497 -1.1954
-1.8459 -9.0197 0.0322
-2.6043 0.5752 11.8364
La Tl In I
2 4 2 12
direct
0.5000 0.0000 0.5000
0.0000 0.5000 0.0000
0.0348 0.9042 0.2764
0.5348 0.5958 0.7764
0.9652 0.0958 0.7236
0.4652 0.4042 0.2236
0.5000 0.0000 0.0000
0.0000 0.5000 0.5000
0.3151 0.6722 0.0529
0.8151 0.8278 0.5529
0.6849 0.3278 0.9471
0.1849 0.1722 0.4471
0.3385 0.7091 0.4175
0.8385 0.7909 0.9175
0.6615 0.2909 0.5825
0.1615 0.2091 0.0825
0.8469 0.5602 0.2437
0.3469 0.9398 0.7437
0.1531 0.4398 0.7563
0.6531 0.0602 0.2563
```

Output
The formation energy from raw total energies is -9.62 eV per formula unit.


Entry 5:
Li2InI6 after structural relaxation, computed with PBE-GGA.

```
Li2InI6
1.0
7.6604 0.2843 2.2892
4.0090 10.6916 -1.3437
0.7353 -2.3487 11.2307
Li In I
4 2 12
direct
0.1950 0.5152 0.7574
0.3050 0.2426 0.4848
0.8050 0.4848 0.2426
0.6950 0.7574 0.5152
0.2500 0.1504 0.8496
0.7500 0.8496 0.1504
0.4380 0.6447 0.4851
0.0620 0.5149 0.3553
0.5620 0.3553 0.5149
0.9380 0.4851 0.6447
0.8267 0.9058 0.3723
0.6733 0.6277 0.0942
0.1733 0.0942 0.6277
0.3267 0.3723 0.9058
0.0866 0.7853 0.9188
0.4134 0.0812 0.2147
0.9134 0.2147 0.0812
0.5866 0.9188 0.7853
```

Output
The formation energy from raw total energies is -6.16 eV per formula unit.


Entry 6:
Li2In2I after structural relaxation, computed with PBE-GGA.

```
Li2In2I
1.0
-0.1161 -0.5693 4.0871
4.0898 0.5281 0.1898
0.8785 8.1643 3.2470
I Li In
1 2 2
direct
0.0000 0.0000 0.0000
0.3998 0.3998 0.2003
0.6002 0.6002 0.7997
0.7500 0.2500 0.5000
0.2500 0.7500 0.5000
```

Output
The formation energy from raw total energies is -1.61 eV per formula unit. For the distance to the lowest polymorph of the same formula, the calculation gives 0.0 meV per atom.


Entry 7:
Li5In3I12 after structural relaxation, computed with PBE-GGA.

```
Li5In3I12
1.0
15.4023 0.0000 0.0000
-5.1341 14.5215 0.0000
-5.1341 -7.2607 12.5760
In Li I
12 20 48
direct
0.7500 0.3750 0.1250
0.8750 0.7500 0.1250
0.3750 0.7500 0.6250
0.2500 0.1250 0.3750
0.8750 0.1250 0.2500
0.3750 0.6250 0.2500
0.6250 0.3750 0.7500
0.1250 0.8750 0.7500
0.7500 0.8750 0.6250
0.6250 0.2500 0.3750
0.1250 0.2500 0.8750
0.2500 0.6250 0.8750
0.1250 0.3750 0.2500
0.0000 0.5000 0.0000
0.0000 0.0000 0.0000
0.3750 0.2500 0.1250
0.5000 0.0000 0.5000
0.5000 0.5000 0.0000
0.1250 0.7500 0.3750
0.7500 0.1250 0.8750
0.7500 0.6250 0.3750
0.3750 0.1250 0.7500
0.6250 0.8750 0.2500
0.5000 0.5000 0.5000
0.5000 0.0000 0.0000
0.0000 0.0000 0.5000
0.2500 0.3750 0.6250
0.2500 0.8750 0.1250
0.0000 0.5000 0.5000
0.8750 0.2500 0.6250
0.6250 0.7500 0.8750
0.8750 0.6250 0.7500
0.7146 0.1264 0.0353
0.3207 0.5353 0.4089
0.9647 0.3736 0.2854
0.5353 0.2146 0.1264
0.5882 0.7146 0.6793
0.9647 0.5911 0.1793
0.3207 0.7854 0.4118
0.0911 0.9118 0.1264
0.5911 0.9647 0.6793
0.7146 0.5882 0.1793
0.7854 0.4647 0.3736
0.8207 0.9089 0.0353
0.1264 0.7146 0.5353
0.3736 0.4089 0.0882
0.0882 0.9089 0.3736
0.4118 0.1264 0.5911
0.0882 0.1793 0.2146
0.4647 0.6793 0.0911
0.8207 0.9118 0.2854
0.1264 0.4118 0.0911
0.3736 0.9647 0.7854
0.5911 0.6264 0.4118
0.9089 0.8207 0.5353
0.7854 0.3207 0.9118
0.4089 0.3736 0.5882
0.0911 0.1793 0.4647
0.2146 0.6793 0.0882
0.1793 0.0882 0.7146
0.6264 0.0353 0.2146
0.8736 0.5882 0.9089
0.5353 0.3207 0.9089
0.5882 0.8736 0.4089
0.9118 0.8207 0.7854
0.9118 0.0911 0.6264
0.8736 0.2854 0.4647
0.1793 0.0911 0.9647
0.6264 0.5911 0.9118
0.4089 0.0353 0.3207
0.2854 0.4118 0.8207
0.2146 0.5353 0.6264
0.9089 0.0882 0.8736
0.6793 0.2146 0.5882
0.4647 0.7854 0.8736
0.0353 0.4089 0.8207
0.4118 0.2854 0.3207
0.0353 0.6264 0.7146
0.6793 0.4647 0.5911
0.2854 0.8736 0.9647
```

Output
The formation energy from raw total energies is -12.89 eV per formula unit.


Entry 8:
LiIn2I8 after structural relaxation, computed with PBE-GGA.

```
LiIn2I8
1.0
8.4955 0.0000 0.0000
0.0000 7.3880 -4.2655
0.0000 0.0000 8.5309
Li In I
1 2 8
direct
0.5000 0.0000 0.0000
0.8272 0.6667 0.3333
0.1728 0.3333 0.6667
0.8482 0.3333 0.6667
0.1518 0.6667 0.3333
0.2603 0.1530 0.3060
0.7397 0.8470 0.6940
0.7397 0.3060 0.1530
0.2603 0.6940 0.8470
0.2603 0.1530 0.8470
0.7397 0.8470 0.1530
```

Output
The formation energy from raw total energies is -4.89 eV per formula unit. For the distance to the lowest polymorph of the same formula, the calculation gives 63.3 meV per atom.


Entry 9:
LiIn6I8 after structural relaxation, computed with PBE-GGA.

```
LiIn6I8
1.0
-0.8679 -1.7559 -4.8237
-6.3972 -8.4510 4.2274
-4.8168 9.9691 -2.7621
Li In I
1 6 8
direct
0.5000 0.0000 0.0000
0.7558 0.6533 0.1142
0.7558 0.8858 0.5391
0.7558 0.4609 0.3467
0.2442 0.3467 0.8858
0.2442 0.1142 0.4609
0.2442 0.5391 0.6533
0.7421 0.9734 0.2531
0.7420 0.7469 0.7203
0.7421 0.2797 0.0266
0.2579 0.0266 0.7469
0.2580 0.2531 0.2797
0.2579 0.7203 0.9734
0.7415 0.3333 0.6667
0.2585 0.6667 0.3333
```

Output
The formation energy from raw total energies is -6.95 eV per formula unit.


Entry 10:
Li2In2I after structural relaxation, computed with PBE-GGA.

```
Li2In2I
1.0
-6.5969 -2.9041 -2.6454
-0.3533 -4.7108 6.0526
-2.2604 3.0748 2.2612
I Li In
2 4 4
direct
0.0000 0.0000 0.0000
0.5000 0.5000 0.0000
0.3444 0.8444 0.0000
0.8444 0.6556 0.0000
0.6556 0.1556 0.0000
0.1556 0.3444 0.0000
0.1430 0.6430 0.5000
0.6430 0.8570 0.5000
0.8570 0.3570 0.5000
0.3570 0.1430 0.5000
```

Output
The formation energy from raw total energies is -1.24 eV per formula unit. For the distance to the lowest polymorph of the same formula, the calculation gives 74.0 meV per atom.


Entry 11:
Li2InI after structural relaxation, computed with PBE-GGA.

```
Li2InI
1.0
-1.5119 -5.0075 5.7400
6.0764 2.7361 3.9875
0.1708 1.2856 6.4199
I Li In
2 4 2
direct
0.0000 0.0000 0.0000
0.7500 0.2500 0.5000
0.6504 0.1250 0.2500
0.0996 0.6250 0.2500
0.3750 0.3496 0.7500
0.8750 0.9004 0.7500
0.5000 0.5000 0.0000
0.2500 0.7500 0.5000
```

Output
The formation energy from raw total energies is -1.53 eV per formula unit. For the distance to the lowest polymorph of the same formula, the calculation gives 0.0 meV per atom.


Entry 12:
LiInI2 after structural relaxation, computed with PBE-GGA.

```
LiInI2
1.0
-3.9788 1.9156 0.4161
-2.8238 0.0128 -3.4205
-5.3777 -6.3691 1.5401
Li In I
1 1 2
direct
0.6676 0.6676 0.9972
0.4998 0.4998 0.5006
0.0680 0.0680 0.7961
0.2646 0.2646 0.2061
```

Output
The formation energy from raw total energies is -3.13 eV per formula unit. For the distance to the lowest polymorph of the same formula, the calculation gives 33.3 meV per atom.


Question: Which formula does entry 7 have?
Answer: Li5In3I12